Entry 1:
# PBE-GGA ZnSnPd4, relaxed
# Electronic total energy (eV/atom): -4.790
# Polymorph energy (0 for the lowest one) (meV per atom): 0.0
# N(E_F) (states/eV per atom): 0.2289
# Density (g/cm3): 10.50
# Energy of formation from the pure elements (eV/atom): -0.4488
# M_tot (μB per formula unit): 0.000
data_ZnSnPd4
_symmetry_space_group_name_H-M 'P n m a'
_symmetry_Int_Tables_number 62
_symmetry_space_group_name_Hall '-P 2ac 2n'
_cell_length_a 7.420
_cell_length_b 3.002
_cell_length_c 17.311
_cell_angle_alpha 90.00
_cell_angle_beta 90.00
_cell_angle_gamma 90.00
loop_
_atom_site_label
_atom_site_fract_x
_atom_site_fract_y
_atom_site_fract_z
Zn1 0.249 0.250 0.054
Sn1 0.226 0.250 0.814
Pd1 0.037 0.750 0.433
Pd2 0.043 0.750 0.704
Pd3 0.109 0.750 0.942
Pd4 0.135 0.750 0.166



Entry 2:
# PBE-GGA Zn4SnPd7, relaxed
# Electronic total energy (eV/atom): -4.040
# N(E_F) (states/eV per atom): 0.3461
# Density (g/cm3): 9.19
# Energy of formation from the pure elements (eV/atom): -0.2524
# M_tot (μB per formula unit): 0.000
data_Zn4SnPd7
_symmetry_space_group_name_H-M 'C 1 2/m 1'
_symmetry_Int_Tables_number 12
_symmetry_space_group_name_Hall '-C 2y'
_cell_length_a 10.853
_cell_length_b 4.879
_cell_length_c 8.943
_cell_angle_alpha 90.00
_cell_angle_beta 120.83
_cell_angle_gamma 90.00
loop_
_atom_site_label
_atom_site_fract_x
_atom_site_fract_y
_atom_site_fract_z
Zn1 0.071 0.000 0.266
Zn2 0.234 0.000 0.827
Sn1 0.000 0.500 0.500
Pd1 0.000 0.000 0.500
Pd2 0.063 0.500 0.848
Pd3 0.149 0.000 0.048
Pd4 0.212 0.500 0.418



Entry 3:
# PBE-GGA Zn2SnPd8, relaxed
# Electronic total energy (eV/atom): -4.779
# Polymorph energy (0 for the lowest one) (meV per atom): 0.0
# N(E_F) (states/eV per atom): 0.4818
# Density (g/cm3): 10.72
# Energy of formation from the pure elements (eV/atom): -0.4073
# M_tot (μB per formula unit): 0.000
data_Zn2SnPd8
_symmetry_space_group_name_H-M 'C 1 2/m 1'
_symmetry_Int_Tables_number 12
_symmetry_space_group_name_Hall '-C 2y'
_cell_length_a 13.963
_cell_length_b 4.106
_cell_length_c 6.213
_cell_angle_alpha 90.00
_cell_angle_beta 106.72
_cell_angle_gamma 90.00
loop_
_atom_site_label
_atom_site_fract_x
_atom_site_fract_y
_atom_site_fract_z
Zn1 0.221 0.000 0.150
Sn1 0.000 0.500 0.500
Pd1 0.043 0.000 0.230
Pd2 0.100 0.500 0.965
Pd3 0.149 0.000 0.709
Pd4 0.180 0.500 0.424